Computed, not measured: an optimized crystal structure of VHgS2F at the GGA+U level of DFT.

Computed properties:
- total magnetic moment (Bohr magnetons per cell) = 2.9
- symmetry = P4/mmm (123)

extended XYZ file:
```
5
Lattice="-0.962 4.108 2.633 -4.159 -0.118 -1.336 -1.184 -2.800 3.936" Properties=species:S:1:pos:R:3 pbc="T T T"
S -0.592 -1.400 1.968
S -0.481 2.054 1.316
F -2.080 -0.059 -0.668
Hg 0.000 0.000 0.000
V -3.153 0.595 2.616
```

***

Computed, not measured: an optimized crystal structure of HgWSF2 at the GGA+U level of DFT.

Computed properties:
- total magnetic moment (Bohr magnetons per cell) = 3.6
- symmetry = P4/mmm (123)

extended XYZ file:
```
5
Lattice="-4.053 -0.280 -0.645 -0.961 -0.067 6.075 -0.284 4.104 0.001" Properties=species:S:1:pos:R:3 pbc="T T T"
S -2.649 1.878 2.716
Hg -0.481 -0.034 3.038
W 0.000 0.000 0.000
F -0.142 2.052 0.000
F -2.027 -0.140 -0.322
```

***

Record-wise calculated density values, in g cm⁻³: 5.14, 7.25
Record-wise N(E_F) values, in states/eV/atom: 0.284, 0.289
Record-wise raw total energy values, in eV/atom: -3.465, -4.019